Below is RbGaHg2 after structural relaxation, with properties calculated at the PBE level.

Results
The raw total energy is -1.21 eV/atom. The formation enthalpy at 0 K comes out at -0.0592 eV per atom. As for the total magnetization: 0.000 μB/f.u. The space-group type is No. 122.

Cell: 6.2284 6.2284 9.4427 Å, 70.74 70.74 90.00°
Positions (direct):
Rb 0.0000 0.0000 0.0000
Rb 0.7500 0.2500 0.5000
Hg 0.4513 0.1250 0.2500
Hg 0.2987 0.6250 0.2500
Hg 0.3750 0.5487 0.7500
Hg 0.8750 0.7013 0.7500
Ga 0.5000 0.5000 0.0000
Ga 0.2500 0.7500 0.5000